A.
Li4AgAs | PBE-GGA | relaxed

Output
volume: 15.6 Å³/atom
mass density: 3.7 g cm⁻³

Unit cell a=2.868 b=4.246 c=7.667 alpha=90.00 beta=90.00 gamma=90.00
Fractional positions:
Li1 0.000 0.000 0.155
Li2 0.000 0.000 0.845
Li3 0.000 0.500 0.324
Li4 0.000 0.500 0.676
Ag1 0.500 0.000 0.500
As1 0.500 0.500 0.000

---

B.
Li4AgAs | PBE-GGA | relaxed

Output
volume: 15.8 Å³/atom
mass density: 3.7 g cm⁻³

Unit cell a=5.123 b=5.123 c=5.123 alpha=60.00 beta=60.00 gamma=60.00
Fractional positions:
Li1 0.125 0.125 0.125
Li2 0.125 0.125 0.624
Li3 0.125 0.624 0.125
Li4 0.624 0.125 0.125
Ag1 0.750 0.750 0.750
As1 0.500 0.500 0.500

---

Verdict on stability: A comes out on top.

---

A.
MgAg2As2 | PBE-GGA | relaxed

Output
volume: 20.7 Å³/atom
mass density: 6.3 g cm⁻³

Unit cell a=6.984 b=6.984 c=6.984 alpha=146.47 beta=146.47 gamma=48.15
Fractional positions:
Mg1 0.000 0.000 0.000
Ag1 0.250 0.750 0.500
Ag2 0.750 0.250 0.500
As1 0.398 0.398 0.000
As2 0.602 0.602 0.000

---

B.
MgAg2As2 | PBE-GGA | relaxed

Output
volume: 20.7 Å³/atom
mass density: 6.3 g cm⁻³

Unit cell a=7.302 b=7.302 c=7.302 alpha=148.90 beta=148.90 gamma=44.57
Fractional positions:
Mg1 0.000 0.000 0.000
Ag1 0.402 0.402 0.000
Ag2 0.598 0.598 0.000
As1 0.250 0.750 0.500
As2 0.750 0.250 0.500

---

Verdict on stability: A comes out on top.

---

A.
MgAg2As2 | PBE-GGA | relaxed

Output
volume: 19.8 Å³/atom
mass density: 6.5 g cm⁻³

Unit cell a=7.441 b=7.441 c=3.577 alpha=90.00 beta=90.00 gamma=90.00
Fractional positions:
Mg1 0.000 0.000 0.000
Mg2 0.500 0.500 0.000
Ag1 0.132 0.368 0.000
Ag2 0.368 0.868 0.000
Ag3 0.632 0.132 0.000
Ag4 0.868 0.632 0.000
As1 0.175 0.675 0.500
As2 0.325 0.175 0.500
As3 0.675 0.825 0.500
As4 0.825 0.325 0.500

---

B.
MgAg2As2 | PBE-GGA | relaxed

Output
volume: 20.3 Å³/atom
mass density: 6.4 g cm⁻³

Unit cell a=6.879 b=6.879 c=4.282 alpha=90.00 beta=90.00 gamma=90.00
Fractional positions:
Mg1 0.000 0.000 0.000
Mg2 0.500 0.500 0.000
Ag1 0.179 0.321 0.500
Ag2 0.321 0.821 0.500
Ag3 0.679 0.179 0.500
Ag4 0.821 0.679 0.500
As1 0.132 0.632 0.000
As2 0.368 0.132 0.000
As3 0.632 0.868 0.000
As4 0.868 0.368 0.000

---

Verdict on stability: B comes out on top.

---

A.
Mg2Ag2As | PBE-GGA | relaxed

Output
volume: 19.9 Å³/atom
mass density: 5.7 g cm⁻³

Unit cell a=7.739 b=7.739 c=3.320 alpha=90.00 beta=90.00 gamma=90.00
Fractional positions:
Mg1 0.162 0.338 0.000
Mg2 0.338 0.838 0.000
Mg3 0.662 0.162 0.000
Mg4 0.838 0.662 0.000
Ag1 0.133 0.633 0.500
Ag2 0.367 0.133 0.500
Ag3 0.633 0.867 0.500
Ag4 0.867 0.367 0.500
As1 0.000 0.000 0.000
As2 0.500 0.500 0.000

---

B.
Mg2Ag2As | PBE-GGA | relaxed

Output
volume: 19.6 Å³/atom
mass density: 5.8 g cm⁻³

Unit cell a=7.514 b=7.514 c=3.466 alpha=90.00 beta=90.00 gamma=90.00
Fractional positions:
Mg1 0.166 0.334 0.000
Mg2 0.334 0.834 0.000
Mg3 0.666 0.166 0.000
Mg4 0.834 0.666 0.000
Ag1 0.132 0.632 0.500
Ag2 0.368 0.132 0.500
Ag3 0.632 0.868 0.500
Ag4 0.868 0.368 0.500
As1 0.000 0.000 0.500
As2 0.500 0.500 0.500

---

Verdict on stability: B comes out on top.

---

A.
MnAgAs | PBE-GGA | relaxed

Output
volume: 17.0 Å³/atom
mass density: 7.7 g cm⁻³

Unit cell a=2.976 b=2.976 c=6.657 alpha=90.00 beta=90.00 gamma=120.00
Fractional positions:
Mn1 0.000 0.000 0.000
Ag1 0.667 0.333 0.331
As1 0.333 0.667 0.715

---

B.
MnAgAs | PBE-GGA | relaxed

Output
volume: 18.2 Å³/atom
mass density: 7.2 g cm⁻³

Unit cell a=4.085 b=4.085 c=3.779 alpha=90.00 beta=90.00 gamma=120.00
Fractional positions:
Mn1 0.000 0.000 0.000
Ag1 0.667 0.333 0.399
As1 0.333 0.667 0.781

---

C.
MnAgAs | PBE-GGA | relaxed

Output
volume: 19.6 Å³/atom
mass density: 6.7 g cm⁻³

Unit cell a=4.366 b=4.366 c=4.366 alpha=60.00 beta=60.00 gamma=60.00
Fractional positions:
Mn1 0.000 0.000 0.000
Ag1 0.500 0.500 0.500
As1 0.750 0.750 0.750

---

Verdict on stability: C comes out on top.

---

A.
MnAgAs | PBE-GGA | relaxed

Output
volume: 17.2 Å³/atom
mass density: 7.7 g cm⁻³

Unit cell a=6.594 b=6.486 c=2.901 alpha=79.28 beta=75.11 gamma=25.61
Fractional positions:
Mn1 0.000 0.000 0.000
Ag1 0.337 0.337 0.663
As1 0.636 0.636 0.364

---

B.
MnAgAs | PBE-GGA | relaxed

Output
volume: 17.0 Å³/atom
mass density: 7.7 g cm⁻³

Unit cell a=5.437 b=5.437 c=5.437 alpha=145.62 beta=145.62 gamma=49.41
Fractional positions:
Mn1 0.000 0.000 0.000
Ag1 0.312 0.312 0.000
As1 0.607 0.607 0.000

---

Verdict on stability: B comes out on top.